VASP calculation (GGA-PBE) on BaReP2 after structural relaxation.

```
BaReP2
1.0
5.897 0.000 0.000
0.000 5.897 0.000
0.000 0.000 12.897
Ba Re P
4 4 8
Cartesian
0.000 0.000 0.000
0.000 2.949 3.224
2.949 0.000 9.673
2.949 2.949 6.448
0.000 0.000 6.448
0.000 2.949 9.673
2.949 0.000 3.224
2.949 2.949 0.000
0.517 1.474 8.061
1.474 3.466 11.285
1.474 5.380 4.836
2.432 1.474 1.612
3.466 4.423 1.612
4.423 0.517 4.836
4.423 2.432 11.285
5.380 4.423 8.061
```

Energy: -106.97 eV for the cell shown
Symmetry: I-42d, No. 122